(1)
First-principles (SCAN) data for a PBEsol-optimized structure of TlMo2P, as listed in the Alexandria database.

## Properties
Relative energy among the computed polymorphs (meV per atom): 627
Magnetization (Bohr magnetons per cell): 0.0
Energy relative to the elements (meV/atom): 770

a b c (Å): 5.6670 8.5195 2.9700
angles (deg): 90.00 112.95 90.00
Space group C2/m (No. 12)
One atom of each set of equivalent atoms:
Tl: 0.0000 0.0000 0.0000 [2 per cell]
Mo: 0.2500 0.2500 0.5000 [4 per cell]
P: 0.0000 0.5000 0.0000 [2 per cell]


(2)
First-principles (SCAN) data for a PBEsol-optimized structure of Tl2MoP, as listed in the Alexandria database.

## Properties
Relative energy among the computed polymorphs (meV per atom): 12
Magnetization (Bohr magnetons per cell): 2.8
Energy relative to the elements (meV/atom): 877

a b c (Å): 4.4359 4.4359 4.0367
angles (deg): 90.00 90.00 90.00
Space group P4/mmm (No. 123)
One atom of each set of equivalent atoms:
Tl: 0.0000 0.5000 0.0000 [2 per cell]
Mo: 0.0000 0.0000 0.5000 [1 per cell]
P: 0.5000 0.5000 0.5000 [1 per cell]


(3)
First-principles (SCAN) data for a PBEsol-optimized structure of MoPW, as listed in the Alexandria database.

## Properties
Relative energy among the computed polymorphs (meV per atom): 0
Magnetization (Bohr magnetons per cell): 0.0
Energy relative to the elements (meV/atom): 38

a b c (Å): 2.9339 2.9339 9.7719
angles (deg): 90.00 90.00 90.00
Space group I4mm (No. 107)
One atom of each set of equivalent atoms:
Mo: 0.0000 0.0000 0.0000 [2 per cell]
P: 0.0000 0.0000 0.6460 [2 per cell]
W: 0.0000 0.0000 0.2952 [2 per cell]


(4)
First-principles (SCAN) data for a PBEsol-optimized structure of Mo2PW, as listed in the Alexandria database.

## Properties
Magnetization (Bohr magnetons per cell): 0.0
Energy relative to the elements (meV/atom): 46

a b c (Å): 3.1089 4.1631 8.7755
angles (deg): 90.00 90.00 90.00
Space group Immm (No. 71)
One atom of each set of equivalent atoms:
Mo: 0.0000 0.0000 0.2390 [4 per cell]
P: 0.0000 0.5000 0.5000 [2 per cell]
W: 0.0000 0.5000 0.0000 [2 per cell]


(5)
First-principles (SCAN) data for a PBEsol-optimized structure of Mo2P2W, as listed in the Alexandria database.

## Properties
Magnetization (Bohr magnetons per cell): 0.0
Energy relative to the elements (meV/atom): 103

a b c (Å): 3.2839 3.2839 13.4862
angles (deg): 90.00 90.00 90.00
Space group I4/mmm (No. 139)
One atom of each set of equivalent atoms:
Mo: 0.0000 0.0000 0.1137 [4 per cell]
P: 0.0000 0.5000 0.2500 [4 per cell]
W: 0.0000 0.0000 0.5000 [2 per cell]


(6)
First-principles (SCAN) data for a PBEsol-optimized structure of Mo2PW, as listed in the Alexandria database.

## Properties
Magnetization (Bohr magnetons per cell): 0.0
Energy relative to the elements (meV/atom): 87

a b c (Å): 3.2381 4.5882 7.8827
angles (deg): 90.00 90.00 90.00
Space group Cmmm (No. 65)
One atom of each set of equivalent atoms:
Mo: 0.0000 0.0000 0.2260 [4 per cell]
P: 0.0000 0.5000 0.0000 [2 per cell]
W: 0.0000 0.5000 0.5000 [2 per cell]


(7)
First-principles (SCAN) data for a PBEsol-optimized structure of Mo2PW, as listed in the Alexandria database.

## Properties
Magnetization (Bohr magnetons per cell): 0.0
Energy relative to the elements (meV/atom): 142

a b c (Å): 2.9275 4.0462 4.9506
angles (deg): 90.00 91.12 90.00
Space group Pm (No. 6)
One atom of each set of equivalent atoms:
Mo: 0.0000 0.0000 0.0000 [1 per cell]
Mo: 0.4752 0.5000 0.7374 [1 per cell]
P: 0.4804 0.5000 0.2371 [1 per cell]
W: 0.9418 0.0000 0.4853 [1 per cell]


(8)
First-principles (SCAN) data for a PBEsol-optimized structure of MoP2W, as listed in the Alexandria database.

## Properties
Magnetization (Bohr magnetons per cell): 0.0
Energy relative to the elements (meV/atom): 309

a b c (Å): 3.8875 3.8875 7.3935
angles (deg): 90.00 90.00 90.00
Space group I-4m2 (No. 119)
One atom of each set of equivalent atoms:
Mo: 0.0000 0.0000 0.0000 [2 per cell]
P: 0.0000 0.0000 0.5000 [2 per cell]
P: 0.0000 0.5000 0.2500 [2 per cell]
W: 0.0000 0.5000 0.7500 [2 per cell]


| no. | total energy (eV/atom) |
| --- | --- |
| 1 | -37.362 |
| 2 | -46.623 |
| 3 | -38.286 |
| 4 | -37.419 |
| 5 | -31.948 |
| 6 | -37.377 |
| 7 | -37.322 |
| 8 | -31.034 |